[1]
# ZnCo2Ag | Alexandria via LeMat-Bulk | PBE | relaxed
data_ZnCo2Ag
_chemical_formula_sum 'Zn3 Co6 Ag3'
_space_group_name_H-M_alt 'P 1'
_space_group_IT_number 1
_cell_length_a 2.663
_cell_length_b 2.663
_cell_length_c 26.393
_cell_angle_alpha 90.00
_cell_angle_beta 90.00
_cell_angle_gamma 120.00
loop_
_space_group_symop_operation_xyz
'x,y,z'
loop_
_atom_site_label
_atom_site_fract_x
_atom_site_fract_y
_atom_site_fract_z
Zn1 0.000 0.000 0.000
Zn2 0.333 0.667 0.667
Zn3 0.667 0.333 0.333
Co1 0.000 0.000 0.255
Co2 0.000 0.000 0.745
Co3 0.333 0.667 0.412
Co4 0.333 0.667 0.921
Co5 0.667 0.333 0.079
Co6 0.667 0.333 0.588
Ag1 0.000 0.000 0.500
Ag2 0.333 0.667 0.167
Ag3 0.667 0.333 0.833
# Magnetization in Bohr magnetons per cell: 9.20
# Space-group type: R-3m (166)
# Uncorrected energy in eV/cell: -51.9
# Formation enthalpy at 0 K in meV/atom: 258
# D(E_F) in states/eV/f.u.: 3.175

***

[2]
# Zn2CoAg | Alexandria via LeMat-Bulk | PBE | relaxed
data_Zn2CoAg
_chemical_formula_sum 'Zn4 Co2 Ag2'
_space_group_name_H-M_alt 'P 1'
_space_group_IT_number 1
_cell_length_a 9.867
_cell_length_b 2.723
_cell_length_c 4.648
_cell_angle_alpha 90.00
_cell_angle_beta 114.12
_cell_angle_gamma 90.00
loop_
_space_group_symop_operation_xyz
'x,y,z'
loop_
_atom_site_label
_atom_site_fract_x
_atom_site_fract_y
_atom_site_fract_z
Zn1 0.000 0.000 0.000
Zn2 0.244 0.000 0.594
Zn3 0.500 0.500 0.000
Zn4 0.744 0.500 0.594
Co1 0.008 0.500 0.520
Co2 0.508 0.000 0.520
Ag1 0.256 0.500 0.109
Ag2 0.756 0.000 0.109
# Magnetization in Bohr magnetons per cell: 2.25
# Space-group type: Cm (8)
# Uncorrected energy in eV/cell: -24.3
# Formation enthalpy at 0 K in meV/atom: 93
# D(E_F) in states/eV/f.u.: 2.878
# Energy above the lowest structure with this stoichiometry in meV/atom: 104

***

[3]
# ZnCo2Ag | Alexandria via LeMat-Bulk | PBE | relaxed
data_ZnCo2Ag
_chemical_formula_sum 'Zn2 Co4 Ag2'
_space_group_name_H-M_alt 'P 1'
_space_group_IT_number 1
_cell_length_a 2.907
_cell_length_b 4.227
_cell_length_c 8.781
_cell_angle_alpha 90.00
_cell_angle_beta 90.00
_cell_angle_gamma 90.00
loop_
_space_group_symop_operation_xyz
'x,y,z'
loop_
_atom_site_label
_atom_site_fract_x
_atom_site_fract_y
_atom_site_fract_z
Zn1 0.000 0.000 0.000
Zn2 0.500 0.500 0.500
Co1 0.000 0.500 0.260
Co2 0.000 0.500 0.740
Co3 0.500 0.000 0.240
Co4 0.500 0.000 0.760
Ag1 0.000 0.000 0.500
Ag2 0.500 0.500 0.000
# Magnetization in Bohr magnetons per cell: 6.55
# Space-group type: Immm (71)
# Uncorrected energy in eV/cell: -34.6
# Formation enthalpy at 0 K in meV/atom: 259
# D(E_F) in states/eV/f.u.: 4.273

***

[4]
# ZnCo2Ag | Alexandria via LeMat-Bulk | PBE | relaxed
data_ZnCo2Ag
_chemical_formula_sum 'Zn1 Co2 Ag1'
_space_group_name_H-M_alt 'P 1'
_space_group_IT_number 1
_cell_length_a 2.673
_cell_length_b 3.806
_cell_length_c 5.299
_cell_angle_alpha 90.00
_cell_angle_beta 90.33
_cell_angle_gamma 90.00
loop_
_space_group_symop_operation_xyz
'x,y,z'
loop_
_atom_site_label
_atom_site_fract_x
_atom_site_fract_y
_atom_site_fract_z
Zn1 0.000 0.000 0.000
Co1 0.500 0.500 0.220
Co2 0.500 0.500 0.780
Ag1 0.000 0.000 0.500
# Magnetization in Bohr magnetons per cell: 2.94
# Space-group type: P2/m (10)
# Uncorrected energy in eV/cell: -17.3
# Formation enthalpy at 0 K in meV/atom: 255
# D(E_F) in states/eV/f.u.: 4.565

***

[5]
# Zn2CoAg | Alexandria via LeMat-Bulk | PBE | relaxed
data_Zn2CoAg
_chemical_formula_sum 'Zn8 Co4 Ag4'
_space_group_name_H-M_alt 'P 1'
_space_group_IT_number 1
_cell_length_a 6.101
_cell_length_b 6.101
_cell_length_c 6.101
_cell_angle_alpha 90.00
_cell_angle_beta 90.00
_cell_angle_gamma 90.00
loop_
_space_group_symop_operation_xyz
'x,y,z'
loop_
_atom_site_label
_atom_site_fract_x
_atom_site_fract_y
_atom_site_fract_z
Zn1 0.000 0.000 0.000
Zn2 0.000 0.500 0.500
Zn3 0.250 0.250 0.250
Zn4 0.250 0.750 0.750
Zn5 0.500 0.000 0.500
Zn6 0.500 0.500 0.000
Zn7 0.750 0.250 0.750
Zn8 0.750 0.750 0.250
Co1 0.250 0.250 0.750
Co2 0.250 0.750 0.250
Co3 0.750 0.250 0.250
Co4 0.750 0.750 0.750
Ag1 0.000 0.000 0.500
Ag2 0.000 0.500 0.000
Ag3 0.500 0.000 0.000
Ag4 0.500 0.500 0.500
# Magnetization in Bohr magnetons per cell: 4.18
# Space-group type: F-43m (216)
# Uncorrected energy in eV/cell: -47.3
# Formation enthalpy at 0 K in meV/atom: 172
# D(E_F) in states/eV/f.u.: 5.244
# Energy above the lowest structure with this stoichiometry in meV/atom: 183

***

[6]
# ZnCo2Ag | Alexandria via LeMat-Bulk | PBE | relaxed
data_ZnCo2Ag
_chemical_formula_sum 'Zn1 Co2 Ag1'
_space_group_name_H-M_alt 'P 1'
_space_group_IT_number 1
_cell_length_a 2.749
_cell_length_b 2.749
_cell_length_c 7.106
_cell_angle_alpha 90.00
_cell_angle_beta 90.00
_cell_angle_gamma 90.00
loop_
_space_group_symop_operation_xyz
'x,y,z'
loop_
_atom_site_label
_atom_site_fract_x
_atom_site_fract_y
_atom_site_fract_z
Zn1 0.000 0.000 0.000
Co1 0.000 0.000 0.571
Co2 0.500 0.500 0.764
Ag1 0.500 0.500 0.290
# Magnetization in Bohr magnetons per cell: 2.95
# Space-group type: P4mm (99)
# Uncorrected energy in eV/cell: -18.0
# Formation enthalpy at 0 K in meV/atom: 97
# D(E_F) in states/eV/f.u.: 2.717

***

[7]
# Zn4CoAg3 | Alexandria via LeMat-Bulk | PBE | relaxed
data_Zn4CoAg3
_chemical_formula_sum 'Zn4 Co1 Ag3'
_space_group_name_H-M_alt 'P 1'
_space_group_IT_number 1
_cell_length_a 2.896
_cell_length_b 2.896
_cell_length_c 14.404
_cell_angle_alpha 90.00
_cell_angle_beta 90.00
_cell_angle_gamma 90.00
loop_
_space_group_symop_operation_xyz
'x,y,z'
loop_
_atom_site_label
_atom_site_fract_x
_atom_site_fract_y
_atom_site_fract_z
Zn1 0.000 0.000 0.098
Zn2 0.000 0.000 0.365
Zn3 0.000 0.000 0.635
Zn4 0.000 0.000 0.902
Co1 0.500 0.500 0.000
Ag1 0.500 0.500 0.231
Ag2 0.500 0.500 0.500
Ag3 0.500 0.500 0.769
# Magnetization in Bohr magnetons per cell: 0.00
# Space-group type: P4/mmm (123)
# Uncorrected energy in eV/cell: -21.0
# Formation enthalpy at 0 K in meV/atom: -27
# D(E_F) in states/eV/f.u.: 2.610

***

[8]
# ZnCoAg4 | Alexandria via LeMat-Bulk | PBE | relaxed
data_ZnCoAg4
_chemical_formula_sum 'Zn1 Co1 Ag4'
_space_group_name_H-M_alt 'P 1'
_space_group_IT_number 1
_cell_length_a 5.386
_cell_length_b 5.386
_cell_length_c 5.386
_cell_angle_alpha 60.00
_cell_angle_beta 60.00
_cell_angle_gamma 60.00
loop_
_space_group_symop_operation_xyz
'x,y,z'
loop_
_atom_site_label
_atom_site_fract_x
_atom_site_fract_y
_atom_site_fract_z
Zn1 0.000 0.000 0.000
Co1 0.750 0.750 0.750
Ag1 0.375 0.375 0.375
Ag2 0.375 0.375 0.875
Ag3 0.375 0.875 0.375
Ag4 0.875 0.375 0.375
# Magnetization in Bohr magnetons per cell: 1.80
# Space-group type: F-43m (216)
# Uncorrected energy in eV/cell: -16.6
# Formation enthalpy at 0 K in meV/atom: 534
# D(E_F) in states/eV/f.u.: 7.092

***

[9]
# ZnCo2Ag | Alexandria via LeMat-Bulk | PBE | relaxed
data_ZnCo2Ag
_chemical_formula_sum 'Zn2 Co4 Ag2'
_space_group_name_H-M_alt 'P 1'
_space_group_IT_number 1
_cell_length_a 5.101
_cell_length_b 8.760
_cell_length_c 2.605
_cell_angle_alpha 90.00
_cell_angle_beta 110.85
_cell_angle_gamma 90.00
loop_
_space_group_symop_operation_xyz
'x,y,z'
loop_
_atom_site_label
_atom_site_fract_x
_atom_site_fract_y
_atom_site_fract_z
Zn1 0.000 0.000 0.000
Zn2 0.500 0.500 0.000
Co1 0.250 0.250 0.500
Co2 0.250 0.750 0.500
Co3 0.750 0.250 0.500
Co4 0.750 0.750 0.500
Ag1 0.000 0.500 0.000
Ag2 0.500 0.000 0.000
# Magnetization in Bohr magnetons per cell: 6.52
# Space-group type: C2/m (12)
# Uncorrected energy in eV/cell: -34.3
# Formation enthalpy at 0 K in meV/atom: 294
# D(E_F) in states/eV/f.u.: 3.833

***

[10]
# Zn2CoAg | Alexandria via LeMat-Bulk | PBE | relaxed
data_Zn2CoAg
_chemical_formula_sum 'Zn6 Co3 Ag3'
_space_group_name_H-M_alt 'P 1'
_space_group_IT_number 1
_cell_length_a 2.768
_cell_length_b 2.768
_cell_length_c 25.967
_cell_angle_alpha 90.00
_cell_angle_beta 90.00
_cell_angle_gamma 120.00
loop_
_space_group_symop_operation_xyz
'x,y,z'
loop_
_atom_site_label
_atom_site_fract_x
_atom_site_fract_y
_atom_site_fract_z
Zn1 0.000 0.000 0.000
Zn2 0.000 0.000 0.182
Zn3 0.333 0.667 0.667
Zn4 0.333 0.667 0.849
Zn5 0.667 0.333 0.333
Zn6 0.667 0.333 0.515
Co1 0.000 0.000 0.591
Co2 0.333 0.667 0.258
Co3 0.667 0.333 0.924
Ag1 0.000 0.000 0.424
Ag2 0.333 0.667 0.091
Ag3 0.667 0.333 0.758
# Magnetization in Bohr magnetons per cell: 3.45
# Space-group type: R3m (160)
# Uncorrected energy in eV/cell: -36.9
# Formation enthalpy at 0 K in meV/atom: 52
# D(E_F) in states/eV/f.u.: 2.611
# Energy above the lowest structure with this stoichiometry in meV/atom: 63